A plane-wave DFT calculation with PBE-GGA was carried out for LiYSb2Pd4 after structural relaxation.

Cell: 8.5602 8.5602 8.5602 Å, 30.87 30.87 30.87°
With the nearest neighbours (Å) after each atom.
Sites, in units of the cell vectors:
Li1 0.0000 0.0000 0.0000  8 Pd 2.56-2.77
Y1 0.5000 0.5000 0.5000  8 Pd 3.03-3.22
Sb1 0.2553 0.2553 0.2553  7 Pd 2.71-2.83
Sb2 0.7447 0.7447 0.7447  7 Pd 2.71-2.83
Pd1 0.1048 0.1048 0.1048  1 Li 2.56, 3 Sb 2.71
Pd2 0.3683 0.3683 0.3683  4 Sb 2.76-2.83, 3 Li 2.77
Pd3 0.6317 0.6317 0.6317  4 Sb 2.76-2.83, 3 Li 2.77
Pd4 0.8952 0.8952 0.8952  1 Li 2.56, 3 Sb 2.71

Results
Energy relative to the elements, uncorrected (meV per atom): -715
Total energy (eV/atom): -5.389